[1]
Computed, not measured: a geometry-optimized CaLaPmZn structure at the PBE level of DFT.

Electronic total energy   -3.21 eV/atom
Calculated density   5.32 g/cm3
V   30.36 Å³/atom
Fermi-level density of states   5.08 states/eV/cell
Energy relative to the elements   0.03 eV/atom
Energy relative to the lowest polymorph listed for this composition   149 meV/atom
Total moment   0.00 Bohr magnetons per cell

Cell: 5.5587 5.5587 5.5587 Å, 60.00 60.00 60.00°
Last column: nearest neighbours and their distance in Å.
Element x y z (fractional)
Zn1 0.5000 0.5000 0.5000  4 La 3.40, 4 Pm 3.40
La1 0.2500 0.2500 0.2500  4 Ca 3.40, 4 Zn 3.40
Ca1 0.0000 0.0000 0.0000  4 La 3.40, 4 Pm 3.40
Pm1 0.7500 0.7500 0.7500  4 Ca 3.40, 4 Zn 3.40

---

[2]
Computed, not measured: a geometry-optimized NaZnI2O structure at the PBE level of DFT.

Electronic total energy   -2.76 eV/atom
ΔE_f (raw)   -0.628 eV per atom
Calculated density   4.29 g/cm3
V   27.72 Å³/atom
Fermi-level density of states   6.19 states/eV/cell
Energy relative to the lowest polymorph listed for this composition   0 meV/atom
Total moment   0.52 Bohr magnetons per cell

Cell: 6.1727 6.1727 3.6369 Å, 90.00 90.00 90.00°
Last column: nearest neighbours and their distance in Å.
Element x y z (fractional)
I1 0.0000 0.5000 0.0000  2 Zn 3.09
I2 0.5000 0.0000 0.0000  2 Zn 3.09
Na1 0.5000 0.5000 0.5000  8 I 3.58, 2 Na 3.64
Zn1 0.0000 0.0000 0.0000  2 O 1.82
O1 0.0000 0.0000 0.5000  2 Zn 1.82

---

What did the first record say?
Computed, not measured: a geometry-optimized CaLaPmZn structure at the PBE level of DFT.

Electronic total energy   -3.21 eV/atom
Calculated density   5.32 g/cm3
V   30.36 Å³/atom
Fermi-level density of states   5.08 states/eV/cell
Energy relative to the elements   0.03 eV/atom
Energy relative to the lowest polymorph listed for this composition   149 meV/atom
Total moment   0.00 Bohr magnetons per cell

Cell: 5.5587 5.5587 5.5587 Å, 60.00 60.00 60.00°
Last column: nearest neighbours and their distance in Å.
Element x y z (fractional)
Zn1 0.5000 0.5000 0.5000  4 La 3.40, 4 Pm 3.40
La1 0.2500 0.2500 0.2500  4 Ca 3.40, 4 Zn 3.40
Ca1 0.0000 0.0000 0.0000  4 La 3.40, 4 Pm 3.40
Pm1 0.7500 0.7500 0.7500  4 Ca 3.40, 4 Zn 3.40

---

- Which value of Fermi-level density of states does entry 2 give?
  6.19 states/eV/cell